Record 1
! Sc2Al2Mo PBE-GGA optimized geometry; values from VASP
! Energy   -5.960 eV per atom
&SYSTEM
  ibrav = 0, nat = 5, ntyp = 3
/
ATOMIC_SPECIES
Sc 44.96 Sc.upf
Mo 95.94 Mo.upf
Al 26.98 Al.upf
ATOMIC_POSITIONS angstrom
Sc 3.749 1.874 3.288
Sc 1.874 3.749 3.288
Mo 0.000 0.000 0.000
Al 1.874 1.874 1.189
Al 3.749 3.749 5.388
CELL_PARAMETERS angstrom
3.749 0.000 0.000
0.000 3.749 0.000
1.874 1.874 6.577

Record 2
! Ba3PbS5 PBE-GGA optimized geometry; values from VASP
! Uncorrected formation energy   -131.3 kJ/mol of atoms
! Energy   -4.707 eV per atom
&SYSTEM
  ibrav = 0, nat = 18, ntyp = 3
/
ATOMIC_SPECIES
Ba 137.33 Ba.upf
Pb 207.20 Pb.upf
S 32.06 S.upf
ATOMIC_POSITIONS angstrom
Ba -0.836 3.625 -4.450
Ba 1.534 -1.531 -7.399
Ba 0.125 2.553 -8.737
Ba 0.573 -0.458 -3.112
Ba -3.460 -1.339 -0.441
Ba -3.111 -0.291 -6.365
Pb -4.409 1.949 -2.980
Pb -2.162 -3.579 -3.825
S -3.863 -4.861 0.043
S -5.981 1.053 -1.296
S -5.511 -1.409 2.491
S -4.333 -2.399 -3.745
S -2.708 3.231 -6.849
S -0.590 -2.683 -5.510
S -1.061 -0.221 -9.297
S -2.238 0.769 -3.061
S 0.349 1.047 -5.925
S 0.000 0.000 0.000
CELL_PARAMETERS angstrom
-1.897 6.575 -5.080
2.595 -4.481 -6.769
-7.270 -3.725 5.044

Record 3
! Ba2Zn4InSn3 PBE-GGA optimized geometry; values from VASP
! Energy   -2.767 eV per atom
&SYSTEM
  ibrav = 0, nat = 10, ntyp = 4
/
ATOMIC_SPECIES
Ba 137.33 Ba.upf
Zn 65.41 Zn.upf
In 114.82 In.upf
Sn 118.71 Sn.upf
ATOMIC_POSITIONS angstrom
Ba -2.736 0.820 -2.242
Ba -8.759 -2.053 -0.662
Zn -0.069 -1.518 -3.022
Zn 0.000 0.000 0.000
Zn -7.267 0.933 -2.196
Zn -4.228 -2.166 -0.709
In -5.782 -1.375 -2.964
Sn -5.714 0.142 0.059
Sn -9.983 1.001 -2.168
Sn -1.513 -2.234 -0.737
CELL_PARAMETERS angstrom
-0.009 1.504 -4.541
-0.129 -4.540 -1.504
-11.427 0.285 0.117

Record 4
! Zn2AsH PBE-GGA optimized geometry; values from VASP
! Energy   -2.613 eV per atom
&SYSTEM
  ibrav = 0, nat = 4, ntyp = 3
/
ATOMIC_SPECIES
H 1.01 H.upf
As 74.92 As.upf
Zn 65.41 Zn.upf
ATOMIC_POSITIONS angstrom
H 0.000 0.000 0.000
As -2.739 -4.609 0.492
Zn -1.191 -3.712 2.321
Zn -4.288 -5.505 -1.338
CELL_PARAMETERS angstrom
-3.731 -1.290 -0.553
-0.675 -3.278 -2.166
-1.072 -4.650 3.703

Record 5
! SiRh2Se PBE-GGA optimized geometry; values from VASP
! Uncorrected formation energy   -26.2 kJ/mol of atoms
! Energy   -6.175 eV per atom
&SYSTEM
  ibrav = 0, nat = 4, ntyp = 3
/
ATOMIC_SPECIES
Rh 102.91 Rh.upf
Se 78.96 Se.upf
Si 28.09 Si.upf
ATOMIC_POSITIONS angstrom
Rh 1.035 0.376 3.963
Rh 2.285 0.830 1.274
Se 4.554 1.653 1.862
Si 6.939 2.519 3.642
CELL_PARAMETERS angstrom
4.675 0.003 0.008
3.588 2.997 0.008
0.967 0.351 4.287

Record 6
! Ac12Ag3Rh5 PBE-GGA optimized geometry; values from VASP
! Energy   -4.993 eV per atom
&SYSTEM
  ibrav = 0, nat = 80, ntyp = 3
/
ATOMIC_SPECIES
Ag 107.87 Ag.upf
Rh 102.91 Rh.upf
Ac 227.00 Ac.upf
ATOMIC_POSITIONS angstrom
Ag 3.268 -6.275 7.629
Ag 8.587 -5.748 9.163
Ag 4.052 6.134 7.364
Ag -2.343 1.485 4.252
Ag -1.821 -8.000 9.066
Ag 6.088 1.390 5.293
Ag -3.014 2.061 9.743
Ag 4.895 11.451 5.971
Ag 5.417 1.966 10.784
Ag -0.977 -2.682 7.673
Ag -5.513 9.199 5.873
Ag -0.193 9.726 7.407
Rh 2.746 3.210 2.816
Rh 7.297 2.875 0.591
Rh 0.000 0.000 0.000
Rh 1.902 -2.107 4.209
Rh -5.760 -1.150 6.927
Rh 6.685 -3.640 4.954
Rh 6.932 6.708 3.900
Rh -8.103 0.336 11.180
Rh 4.342 -2.155 9.207
Rh -6.357 3.881 7.266
Rh 9.431 -0.430 7.770
Rh 1.537 1.726 7.518
Rh -0.612 -6.515 4.363
Rh -5.148 5.366 2.564
Rh -1.268 5.606 5.830
Rh 11.177 3.115 3.857
Rh 2.149 8.241 3.155
Rh -3.857 -3.257 11.136
Rh 1.172 5.559 10.827
Rh 0.328 0.241 12.220
Ac 0.586 -8.192 6.503
Ac 3.155 3.252 5.550
Ac 1.333 -7.319 10.379
Ac 1.143 -4.419 5.523
Ac 2.665 3.697 9.432
Ac 5.605 -7.315 10.049
Ac 6.889 4.770 5.871
Ac 11.954 5.392 2.494
Ac 6.428 5.140 9.765
Ac 5.875 -3.970 7.793
Ac 1.969 -3.562 9.387
Ac 11.938 -5.143 8.424
Ac 4.722 8.197 4.638
Ac 4.625 -1.628 4.224
Ac 9.287 8.150 3.769
Ac -4.792 1.655 6.775
Ac 0.320 2.133 2.042
Ac 8.380 -1.232 5.342
Ac 9.327 -2.356 9.751
Ac 4.951 1.745 2.020
Ac 5.519 9.129 8.491
Ac 4.110 0.324 8.004
Ac 5.415 -1.410 11.644
Ac -5.655 1.355 11.962
Ac -1.036 3.128 7.033
Ac -2.341 4.861 3.393
Ac 8.729 2.096 3.074
Ac -6.253 5.807 5.285
Ac -2.445 -5.678 6.545
Ac -1.877 1.706 13.017
Ac -5.306 4.684 9.694
Ac 7.867 1.797 8.261
Ac 2.754 1.318 12.995
Ac -6.213 -4.699 11.267
Ac -1.648 -4.746 10.398
Ac -8.863 8.595 6.612
Ac -1.551 5.080 10.812
Ac -3.353 -1.689 5.272
Ac -2.800 7.422 7.244
Ac 1.105 7.013 5.650
Ac -8.879 -1.941 12.543
Ac -3.814 -1.319 9.165
Ac 1.931 7.870 9.514
Ac -2.531 10.766 4.988
Ac 0.409 -0.246 5.604
Ac 1.741 10.771 4.657
Ac -0.081 0.199 9.486
Ac 2.489 11.643 8.534
CELL_PARAMETERS angstrom
-1.224 -13.031 8.727
14.594 5.750 1.182
-10.296 10.731 5.128